(1)
A plane-wave DFT calculation with PBE-GGA was carried out for a geometry-optimized LaTbNdHg structure.

Cell and atoms, written as extended XYZ:
```
4
Lattice="0.000 3.944 3.944 3.944 0.000 3.944 3.944 3.944 0.000" Properties=species:S:1:pos:R:3 pbc="T T T"
La 0.000 0.000 0.000
Tb 5.916 5.916 5.916
Nd 3.944 3.944 3.944
Hg 1.972 1.972 1.972
```

Total moment, μB per atom: 0.0116
E above lowest polymorph, kJ/mol of atoms: 14.3
Fermi-level density of states, states/eV per cell: 6.2
VASP energy, eV/atom: -3.74
Space group: No. 216



(2)
A plane-wave DFT calculation with PBE-GGA was carried out for a geometry-optimized K3RhO2 structure.

Cell and atoms, written as extended XYZ:
```
12
Lattice="4.621 -4.070 0.000 4.621 4.070 0.000 0.000 0.000 6.747" Properties=species:S:1:pos:R:3 pbc="T T T"
K 4.621 2.126 5.061
K 2.651 0.000 0.000
K 2.651 0.000 3.374
K 6.591 0.000 0.000
K 6.591 0.000 3.374
K 4.621 -2.126 1.687
Rh 4.621 2.700 1.687
Rh 4.621 -2.700 5.061
O 0.000 0.000 0.000
O 0.000 0.000 3.374
O 4.621 0.733 1.687
O 4.621 -0.733 5.061
```

Total moment, μB per atom: 0.0006
Raw formation energy, eV/atom: -0.6815
Fermi-level density of states, states/eV per cell: 6.9
VASP energy, eV/atom: -4.11
Space group: No. 63



(3)
A plane-wave DFT calculation with PBE-GGA was carried out for a geometry-optimized ZrAlHg2 structure.

Cell and atoms, written as extended XYZ:
```
4
Lattice="-2.119 2.119 4.593 2.119 -2.119 4.593 2.119 2.119 -4.593" Properties=species:S:1:pos:R:3 pbc="T T T"
Zr 0.000 0.000 0.000
Al 0.000 0.000 4.593
Hg 2.119 0.000 2.296
Hg 0.000 2.119 2.296
```

Total moment, μB per atom: 0.0000
Fermi-level density of states, states/eV per cell: 1.7
VASP energy, eV/atom: -3.30
Space group: No. 139



Question: Among the records above, which one has the highest total moment?
Answer: LaTbNdHg